A geometry-optimized Ac4IrAu2Cl structure. Source: the Alexandria database, functional PBE.

Cell lengths 4.4928, 7.9064, 7.7148 Å; angles 108.63, 90.00, 90.00 degrees
Fractional positions:
Ac 0.0000 0.2774 0.7665
Au 0.5000 0.0000 0.5000
Ac 0.5000 0.2755 0.2463
Ac 0.0000 0.7226 0.2335
Cl 0.0000 0.0000 0.0000
Ac 0.5000 0.7245 0.7537
Ir 0.5000 0.5000 0.0000
Au 0.0000 0.5000 0.5000

As for the raw formation energy: -94.96 kJ per mole of atoms.